A geometry-optimized TcAgMo structure, computed with PBE.

## Properties
As for the density: 10.57 g/cm³. The formation energy from the elements is 0.42 eV/atom. For the magnetization, the calculation gives 0.00 μB/f.u. Its total energy is -22.78 eV/cell. For the offset from the most stable computed form, the calculation gives 48.1 meV per atom. For the density of states at the Fermi level, the calculation gives 2.09 states/eV/f.u.

abc: 4.892 4.892 4.892
angles: 148.68 128.16 61.83
Sites, in units of the cell vectors:
Ag: 0.001 0.001 0.000
Tc: 0.666 0.666 0.000
Mo: 0.334 0.334 0.000